Entry from the Alexandria database: a geometry-optimized Ca2Tl3RuO6 structure (PBE-GGA).

abc: 5.8984 5.8984 6.6164
angles: 97.93 97.93 120.00
Fractional positions:
Ca 0.3327 0.6673 0.0000
Ca 0.6673 0.3327 0.0000
Tl 0.1663 0.8337 0.5000
Tl 0.5000 0.5000 0.5000
Tl 0.8337 0.1663 0.5000
O 0.3419 0.0576 0.1695
O 0.0576 0.3419 0.1695
O 0.7747 0.7747 0.1877
O 0.2253 0.2253 0.8123
O 0.6581 0.9424 0.8305
O 0.9424 0.6581 0.8305
Ru 0.0000 0.0000 0.0000

Summary:
- volume (Å³/cell) = 191.6
- space group = C2/m
- total DFT energy (no corrections) (eV/atom) = -5.64
- mass density (g/cm3) = 7.72
- size of the total moment (μB/f.u.) = 3.01
- uncorrected formation energy (eV per atom) = -1.468